# 1
Below is LaC3F after structural relaxation, with properties calculated at the PBEsol level.

## Properties
Uncorrected energy in eV per atom: -4.18
Formation energy from raw total energies in eV per atom: 3.0603
N(E_F) in states/eV/f.u.: 6.22

Cell and atoms, written as POSCAR:
```
LaC3F
1.0
4.5921 0.0000 0.0000
0.0000 4.5921 0.0000
0.0000 0.0000 4.5921
La C F
1 3 1
direct
0.0000 0.0000 0.0000
0.0000 0.0000 0.5000
0.0000 0.5000 0.0000
0.5000 0.0000 0.0000
0.5000 0.5000 0.5000
```

***

# 2
Below is Si3AuN after structural relaxation, with properties calculated at the PBEsol level.

## Properties
Uncorrected energy in eV per atom: -4.04
Formation energy from raw total energies in eV per atom: 1.8957
N(E_F) in states/eV/f.u.: 3.00

Cell and atoms, written as POSCAR:
```
Si3AuN
1.0
4.6985 0.0000 0.0000
0.0000 4.6985 0.0000
0.0000 0.0000 4.6985
Si Au N
3 1 1
direct
0.0000 0.0000 0.5000
0.0000 0.5000 0.0000
0.5000 0.0000 0.0000
0.0000 0.0000 0.0000
0.5000 0.5000 0.5000
```